# 1
VASP calculation (PBE) on NaEu3Co after structural relaxation.

Structure (POSCAR):
```
NaEu3Co
1.0
5.5887 0.0000 0.0000
0.0000 5.5887 0.0000
0.0000 0.0000 5.5887
Na Eu Co
1 3 1
Direct
0.0000 0.0000 0.0000
0.0000 0.5000 0.5000
0.5000 0.0000 0.5000
0.5000 0.5000 0.0000
0.5000 0.5000 0.5000
```

## Properties
* space-group type: Pm-3m, No. 221

# 2
VASP calculation (PBE) on Ba2InSnPt after structural relaxation.

Structure (POSCAR):
```
Ba2InSnPt
1.0
6.2050 0.0000 0.0000
0.0000 6.2050 0.0000
0.0000 0.0000 5.0951
Ba In Sn Pt
2 1 1 1
Direct
0.0000 0.5000 0.0000
0.5000 0.0000 0.0000
0.0000 0.0000 0.5000
0.5000 0.5000 0.5000
0.5000 0.5000 0.0000
```

## Properties
* space-group type: P4/mmm, No. 123

# 3
VASP calculation (PBE) on Ac3TbNi after structural relaxation.

Structure (POSCAR):
```
Ac3TbNi
1.0
5.7457 0.0000 0.0000
0.0000 5.7457 0.0000
0.0000 0.0000 5.7457
Ac Tb Ni
3 1 1
Direct
0.0000 0.0000 0.5000
0.0000 0.5000 0.0000
0.5000 0.0000 0.0000
0.5000 0.5000 0.5000
0.0000 0.0000 0.0000
```

## Properties
* space-group type: Pm-3m, No. 221

# 4
VASP calculation (PBE) on LaCrHg2 after structural relaxation.

Structure (POSCAR):
```
LaCrHg2
1.0
3.4844 0.0000 0.0000
0.0000 3.6709 0.0000
0.0000 0.0000 7.4867
La Cr Hg
1 1 2
Direct
0.0000 0.0000 0.0000
0.0000 0.0000 0.5000
0.5000 0.5000 0.2945
0.5000 0.5000 0.7055
```

## Properties
* space-group type: Pmmm, No. 47

One value per record, in order, for formation energy: 0.49 -2.46 0.21 -0.02 eV per formula unit.